A plane-wave DFT calculation with GGA-PBE was carried out for a relaxed structure of Tb2SmDy8.

It has space group Immm (No. 71), with a = 5.512 Å, b = 8.112 Å, c = 15.898 Å, α = 90.00°, β = 90.00° and γ = 90.00°. The inequivalent atoms are Tb at (0.000, 0.000, 0.200), Sm at (0.000, 0.000, 0.500), Dy at (0.000, 0.206, 0.000), Dy at (0.000, 0.293, 0.361) and Dy at (0.000, 0.500, 0.162).

The energy relative to the lowest polymorph listed for this composition comes out at 1.06 eV/f.u. Its density is 8.26 g/cm³.